The following is a DFT calculation (GGA-PBE) of a relaxed LaHfCd2 crystal.

- raw total energy (eV per atom) = -4.170
- formation energy from the elements (eV/atom) = 0.008
- magnetization (μB/f.u.) = 0.8
- ΔE to the lowest computed polymorph (meV/atom) = 0

```
LaHfCd2
1.0
0.0000 3.7192 3.7192
3.7192 0.0000 3.7192
3.7192 3.7192 0.0000
Hf La Cd
1 1 2
Direct
0.5000 0.5000 0.5000 Hf
0.0000 0.0000 0.0000 La
0.2500 0.2500 0.2500 Cd
0.7500 0.7500 0.7500 Cd
```